Density functional theory data (PBE-GGA) for Tb13Tm2 after structural relaxation.

Calculated values
For the density of states at the Fermi level, the calculation gives 24.8 states/eV/cell. As for the formation enthalpy at 0 K: 0.07 eV per atom. As for the total energy: -68.11 eV for the cell shown. The calculation puts the distance to the lowest polymorph of the same formula at 0 meV per atom.

a b c (Å): 6.594 8.911 8.912
angles (deg): 65.99 81.75 81.73
Space group P-1 (No. 2)
Symmetry-distinct sites (fractional):
1 Tb 0.000 0.000 0.000 x1
2 Tb 0.104 0.442 0.756 x2
3 Tb 0.196 0.198 0.203 x2
4 Tb 0.293 0.627 0.977 x2
5 Tb 0.308 0.957 0.640 x2
6 Tb 0.398 0.399 0.403 x2
7 Tb 0.493 0.169 0.835 x2
8 Tm 0.096 0.777 0.424 x2

***

Density functional theory data (PBE-GGA) for Na2Al2Rh after structural relaxation.

Calculated values
For the density of states at the Fermi level, the calculation gives 4.5 states/eV/cell. As for the formation enthalpy at 0 K: -0.07 eV per atom. As for the total energy: -35.64 eV for the cell shown. The calculation puts the distance to the lowest polymorph of the same formula at 0 meV per atom.

a b c (Å): 6.423 6.423 5.300
angles (deg): 90.00 90.00 90.00
Space group P4/mbm (No. 127)
Symmetry-distinct sites (fractional):
1 Na 0.180 0.320 0.000 x4
2 Al 0.159 0.659 0.500 x4
3 Rh 0.000 0.000 0.500 x2

***

Density functional theory data (PBE-GGA) for Zr6TaIn5 after structural relaxation.

Calculated values
For the density of states at the Fermi level, the calculation gives 20.8 states/eV/cell. As for the formation enthalpy at 0 K: -0.24 eV per atom. As for the total energy: -159.31 eV for the cell shown.

a b c (Å): 4.470 13.817 8.532
angles (deg): 90.00 90.00 90.00
Space group Cmmm (No. 65)
Symmetry-distinct sites (fractional):
1 Zr 0.000 0.000 0.238 x4
2 Zr 0.000 0.335 0.242 x8
3 Ta 0.000 0.500 0.000 x2
4 In 0.000 0.162 0.000 x4
5 In 0.000 0.168 0.500 x4
6 In 0.000 0.500 0.500 x2

***

Density functional theory data (PBE-GGA) for KBaRuO4 after structural relaxation.

Calculated values
For the density of states at the Fermi level, the calculation gives 4.7 states/eV/cell. As for the total energy: -87.09 eV for the cell shown. The raw formation energy is -1.6306 eV per atom.

a b c (Å): 4.016 4.016 13.433
angles (deg): 90.00 90.00 90.00
Space group I4mm (No. 107)
Symmetry-distinct sites (fractional):
1 K 0.000 0.000 0.000 x2
2 Ba 0.000 0.000 0.293 x2
3 Ru 0.000 0.000 0.641 x2
4 O 0.000 0.000 0.500 x2
5 O 0.000 0.000 0.792 x2
6 O 0.000 0.500 0.150 x4

***

Density functional theory data (PBE-GGA) for AlZnTc2 after structural relaxation.

Calculated values
For the density of states at the Fermi level, the calculation gives 3.5 states/eV/cell. As for the formation enthalpy at 0 K: 0.04 eV per atom. As for the total energy: -25.58 eV for the cell shown. The calculation puts the distance to the lowest polymorph of the same formula at 249 meV per atom.

a b c (Å): 2.846 3.926 5.254
angles (deg): 90.00 90.00 90.00
Space group Pmmm (No. 47)
Symmetry-distinct sites (fractional):
1 Al 0.000 0.000 0.000 x1
2 Zn 0.000 0.000 0.500 x1
3 Tc 0.500 0.500 0.230 x2

***

Density functional theory data (PBE-GGA) for VRhBr2 after structural relaxation.

Calculated values
For the density of states at the Fermi level, the calculation gives 13.8 states/eV/cell. As for the total energy: -53.84 eV for the cell shown. The raw formation energy is 0.4677 eV per atom. The calculation puts the distance to the lowest polymorph of the same formula at 224 meV per atom.

a b c (Å): 3.7152 3.7152 23.9304
angles (deg): 90.00 90.00 120.00
Space group R-3m (No. 166, hexagonal axes)
Symmetry-distinct sites (fractional):
1 V 0.0000 0.0000 0.0000 x3
2 Rh 0.0000 0.0000 0.5000 x3
3 Br 0.0000 0.0000 0.1031 x6

***

Density functional theory data (PBE-GGA) for AcYAg2S4 after structural relaxation.

Calculated values
For the density of states at the Fermi level, the calculation gives 0.1 states/eV/cell. As for the total energy: -85.29 eV for the cell shown. The raw formation energy is -1.2323 eV per atom.

a b c (Å): 6.824 7.034 8.167
angles (deg): 90.00 90.00 90.00
Space group I222 (No. 23)
Symmetry-distinct sites (fractional):
1 Ac 0.000 0.000 0.000 x2
2 Y 0.000 0.000 0.500 x2
3 Ag 0.000 0.500 0.176 x4
4 S 0.221 0.227 0.322 x8

***

Density functional theory data (PBE-GGA) for PmNdDy5 after structural relaxation.

Calculated values
For the density of states at the Fermi level, the calculation gives 20.9 states/eV/cell. As for the formation enthalpy at 0 K: 1.08 eV per atom. As for the total energy: -49.97 eV for the cell shown. The calculation puts the distance to the lowest polymorph of the same formula at 889 meV per atom.

a b c (Å): 5.768 8.659 11.819
angles (deg): 90.00 90.00 90.00
Space group Immm (No. 71)
Symmetry-distinct sites (fractional):
1 Pm 0.000 0.000 0.000 x2
2 Nd 0.000 0.000 0.500 x2
3 Dy 0.000 0.000 0.247 x4
4 Dy 0.000 0.320 0.000 x4
5 Dy 0.000 0.500 0.500 x2

***

Density functional theory data (PBE-GGA) for SrCu3F after structural relaxation.

Calculated values
For the density of states at the Fermi level, the calculation gives 3.5 states/eV/cell. As for the total energy: -15.65 eV for the cell shown. The raw formation energy is 0.0384 eV per atom. The calculation puts the distance to the lowest polymorph of the same formula at 0 meV per atom.

a b c (Å): 4.530 4.530 4.530
angles (deg): 90.00 90.00 90.00
Space group Pm-3m (No. 221)
Symmetry-distinct sites (fractional):
1 Sr 0.000 0.000 0.000 x1
2 Cu 0.000 0.500 0.500 x3
3 F 0.500 0.500 0.500 x1

***

Density functional theory data (PBE-GGA) for Ta2IrPb after structural relaxation.

Calculated values
For the density of states at the Fermi level, the calculation gives 5.7 states/eV/cell. As for the formation enthalpy at 0 K: 0.20 eV per atom. As for the total energy: -70.93 eV for the cell shown.

a b c (Å): 10.496 3.048 5.043
angles (deg): 90.00 109.90 90.00
Space group Cm (No. 8)
Symmetry-distinct sites (fractional):
1 Ta 0.000 0.000 0.000 x2
2 Ta 0.246 0.500 0.278 x2
3 Ir 0.279 0.000 0.840 x2
4 Pb 0.027 0.500 0.526 x2

***

Density functional theory data (PBE-GGA) for LaTlTc2 after structural relaxation.

Calculated values
For the density of states at the Fermi level, the calculation gives 4.4 states/eV/cell. As for the formation enthalpy at 0 K: 0.53 eV per atom. As for the total energy: -25.91 eV for the cell shown. The calculation puts the distance to the lowest polymorph of the same formula at 423 meV per atom.

a b c (Å): 4.649 4.649 3.769
angles (deg): 90.00 90.00 90.00
Space group P4/mmm (No. 123)
Symmetry-distinct sites (fractional):
1 La 0.000 0.000 0.000 x1
2 Tl 0.500 0.500 0.000 x1
3 Tc 0.000 0.500 0.500 x2

***

Density functional theory data (PBE-GGA) for KBaSi2Au5 after structural relaxation.

Calculated values
For the density of states at the Fermi level, the calculation gives 2.1 states/eV/cell. As for the total energy: -33.68 eV for the cell shown. The raw formation energy is -0.3811 eV per atom.

a b c (Å): 4.785 4.785 10.848
angles (deg): 90.00 90.00 90.00
Space group P4/mmm (No. 123)
Symmetry-distinct sites (fractional):
1 K 0.000 0.000 0.000 x1
2 Ba 0.000 0.000 0.500 x1
3 Si 0.500 0.500 0.276 x2
4 Au 0.000 0.500 0.233 x4
5 Au 0.500 0.500 0.500 x1

***

Density functional theory data (PBE-GGA) for PrWS2 after structural relaxation.

Calculated values
For the density of states at the Fermi level, the calculation gives 11.8 states/eV/cell. As for the total energy: -82.72 eV for the cell shown. The raw formation energy is -0.3961 eV per atom.

a b c (Å): 3.2804 3.2804 27.0104
angles (deg): 90.00 90.00 120.00
Space group R-3m (No. 166, hexagonal axes)
Symmetry-distinct sites (fractional):
1 Pr 0.0000 0.0000 0.0000 x3
2 W 0.0000 0.0000 0.5000 x3
3 S 0.0000 0.0000 0.1082 x6

***

Density functional theory data (PBE-GGA) for CsU2Se6 after structural relaxation.

Calculated values
For the density of states at the Fermi level, the calculation gives 6.5 states/eV/cell. As for the total energy: -53.92 eV for the cell shown. The raw formation energy is -1.0648 eV per atom.

a b c (Å): 7.2107 7.2107 8.0721
angles (deg): 90.00 90.00 120.00
Space group P-31m (No. 162)
Symmetry-distinct sites (fractional):
1 Cs 0.0000 0.0000 0.0000 x1
2 U 0.3333 0.6667 0.5000 x2
3 Se 0.0000 0.3800 0.6896 x6

***

Density functional theory data (PBE-GGA) for K2ReI4Br2 after structural relaxation.

Calculated values
As for the total energy: -61.58 eV for the cell shown. The raw formation energy is -0.7333 eV per atom.

a b c (Å): 13.383 8.066 8.139
angles (deg): 90.00 127.28 90.00
Space group C2/m (No. 12)
Symmetry-distinct sites (fractional):
1 K 0.248 0.000 0.224 x4
2 Re 0.000 0.000 0.500 x2
3 I 0.035 0.240 0.300 x8
4 Br 0.234 0.000 0.794 x4

***

Density functional theory data (PBE-GGA) for HoTl2In after structural relaxation.

Calculated values
For the density of states at the Fermi level, the calculation gives 6.0 states/eV/cell. As for the formation enthalpy at 0 K: -0.09 eV per atom. As for the total energy: -37.17 eV for the cell shown.

a b c (Å): 4.9846 4.9846 15.4959
angles (deg): 90.00 90.00 120.00
Space group R-3m (No. 166, hexagonal axes)
Symmetry-distinct sites (fractional):
1 Ho 0.0000 0.0000 0.0000 x3
2 Tl 0.0000 0.0000 0.2472 x6
3 In 0.0000 0.0000 0.5000 x3

***

Density functional theory data (PBE-GGA) for Ac5Sn2Te12 after structural relaxation.

Calculated values
For the density of states at the Fermi level, the calculation gives 20.2 states/eV/cell. As for the total energy: -170.60 eV for the cell shown. The raw formation energy is -1.0027 eV per atom.

a b c (Å): 17.974 8.578 10.400
angles (deg): 90.00 106.43 90.00
Space group C2/m (No. 12)
Symmetry-distinct sites (fractional):
1 Ac 0.000 0.000 0.000 x2
2 Ac 0.185 0.500 0.312 x4
3 Ac 0.206 0.500 0.845 x4
4 Sn 0.000 0.252 0.500 x4
5 Te 0.008 0.500 0.710 x4
6 Te 0.027 0.000 0.702 x4
7 Te 0.147 0.252 0.056 x8
8 Te 0.172 0.257 0.563 x8

***

Density functional theory data (PBE-GGA) for La8PPt3Cl4 after structural relaxation.

Calculated values
For the density of states at the Fermi level, the calculation gives 43.9 states/eV/cell. As for the total energy: -281.55 eV for the cell shown. The raw formation energy is -1.4694 eV per atom.

a b c (Å): 8.5250 8.5250 21.5865
angles (deg): 90.00 90.00 120.00
Space group R-3m (No. 166, hexagonal axes)
Symmetry-distinct sites (fractional):
1 La 0.0000 0.0000 0.2382 x6
2 La 0.0003 0.5002 0.2423 x18
3 P 0.0000 0.0000 0.5000 x3
4 Pt 0.0000 0.5000 0.5000 x9
5 Cl 0.0000 0.0000 0.0000 x3
6 Cl 0.0000 0.5000 0.0000 x9

***

Density functional theory data (PBE-GGA) for LaTh2Tc after structural relaxation.

Calculated values
For the density of states at the Fermi level, the calculation gives 17.8 states/eV/cell. As for the formation enthalpy at 0 K: 0.24 eV per atom. As for the total energy: -87.47 eV for the cell shown. The calculation puts the distance to the lowest polymorph of the same formula at 349 meV per atom.

a b c (Å): 3.8943 3.8943 30.8953
angles (deg): 90.00 90.00 120.00
Space group R-3m (No. 166, hexagonal axes)
Symmetry-distinct sites (fractional):
1 La 0.0000 0.0000 0.0000 x3
2 Th 0.0000 0.0000 0.1136 x6
3 Tc 0.0000 0.0000 0.5000 x3

***

Density functional theory data (PBE-GGA) for KBaMo2 after structural relaxation.

Calculated values
For the density of states at the Fermi level, the calculation gives 18.3 states/eV/cell. As for the formation enthalpy at 0 K: 2.02 eV per atom. As for the total energy: -66.46 eV for the cell shown. The calculation puts the distance to the lowest polymorph of the same formula at 1243 meV per atom.

a b c (Å): 9.192 9.192 5.699
angles (deg): 90.00 90.00 90.00
Space group I-42d (No. 122)
Symmetry-distinct sites (fractional):
1 K 0.000 0.000 0.000 x4
2 Ba 0.000 0.000 0.500 x4
3 Mo 0.250 0.250 0.375 x8

***

Density functional theory data (PBE-GGA) for W2AuBr after structural relaxation.

Calculated values
For the density of states at the Fermi level, the calculation gives 8.4 states/eV/cell. As for the total energy: -52.10 eV for the cell shown. The raw formation energy is 1.2021 eV per atom. The calculation puts the distance to the lowest polymorph of the same formula at 651 meV per atom.

a b c (Å): 5.613 9.387 2.873
angles (deg): 90.00 110.50 90.00
Space group C2/m (No. 12)
Symmetry-distinct sites (fractional):
1 W 0.250 0.250 0.000 x4
2 Au 0.000 0.000 0.500 x2
3 Br 0.000 0.500 0.500 x2

***

Density functional theory data (PBE-GGA) for CdIn2NiBi after structural relaxation.

Calculated values
For the density of states at the Fermi level, the calculation gives 2.8 states/eV/cell. As for the formation enthalpy at 0 K: 0.08 eV per atom. As for the total energy: -15.64 eV for the cell shown. The calculation puts the distance to the lowest polymorph of the same formula at 0 meV per atom.

a b c (Å): 4.957 4.957 5.386
angles (deg): 90.00 90.00 90.00
Space group P4/mmm (No. 123)
Symmetry-distinct sites (fractional):
1 Cd 0.000 0.000 0.000 x1
2 In 0.000 0.500 0.500 x2
3 Ni 0.500 0.500 0.500 x1
4 Bi 0.500 0.500 0.000 x1

***

Density functional theory data (PBE-GGA) for Ba4Au2N after structural relaxation.

Calculated values
For the density of states at the Fermi level, the calculation gives 7.1 states/eV/cell. As for the total energy: -52.11 eV for the cell shown. The raw formation energy is -0.4976 eV per atom. The calculation puts the distance to the lowest polymorph of the same formula at 35 meV per atom.

a b c (Å): 5.550 5.550 16.588
angles (deg): 90.00 90.00 90.00
Space group I4/mmm (No. 139)
Symmetry-distinct sites (fractional):
1 Ba 0.000 0.000 0.167 x4
2 Ba 0.000 0.500 0.000 x4
3 Au 0.000 0.000 0.370 x4
4 N 0.000 0.000 0.000 x2

***

Density functional theory data (PBE-GGA) for Re2PtRh after structural relaxation.

Calculated values
For the density of states at the Fermi level, the calculation gives 7.3 states/eV/cell. As for the formation enthalpy at 0 K: -0.04 eV per atom. As for the total energy: -76.86 eV for the cell shown. The calculation puts the distance to the lowest polymorph of the same formula at 87 meV per atom.

a b c (Å): 9.218 2.750 4.748
angles (deg): 90.00 99.86 90.00
Space group C2/m (No. 12)
Symmetry-distinct sites (fractional):
1 Re 0.249 0.000 0.246 x4
2 Pt 0.000 0.000 0.500 x2
3 Rh 0.000 0.500 0.000 x2

***

Density functional theory data (PBE-GGA) for Rb3MnRu after structural relaxation.

Calculated values
For the density of states at the Fermi level, the calculation gives 10.5 states/eV/cell. As for the formation enthalpy at 0 K: 1.48 eV per atom. As for the total energy: -13.96 eV for the cell shown. The calculation puts the distance to the lowest polymorph of the same formula at 0 meV per atom.

a b c (Å): 6.191 6.191 6.191
angles (deg): 90.00 90.00 90.00
Space group Pm-3m (No. 221)
Symmetry-distinct sites (fractional):
1 Rb 0.000 0.000 0.500 x3
2 Mn 0.500 0.500 0.500 x1
3 Ru 0.000 0.000 0.000 x1